Record 1
# Y2HoSn

A relaxed structure of Y2HoSn (PBE, Alexandria).

ΔE to the lowest computed polymorph: 0.106 eV per atom
DOS at the Fermi energy: 5.87 states/eV/cell
Symmetry: P4/mmm (123)
Volume: 119 Å³/cell
Spin magnetization: 0.00 Bohr magnetons per cell
Electronic total energy: -22.7 eV/cell
E_form: -29.62 kJ per mole of atoms

Cell lengths 3.7631, 3.7631, 8.3946 Å; angles 90.00, 90.00, 90.00 degrees
Closest atoms and distances in Å follow each position.
Atoms (fractional coordinates):
Y (0.0000, 0.0000, 0.2222)  4 Sn 3.25, 4 Ho 3.54
Y (0.0000, 0.0000, 0.7778)  4 Sn 3.25, 4 Ho 3.54
Ho (0.5000, 0.5000, 0.5000)  8 Y 3.54, 4 Ho 3.76
Sn (0.5000, 0.5000, 0.0000)  8 Y 3.25


Record 2
# Ti2Ga5Mo2

A relaxed structure of Ti2Ga5Mo2 (PBE, Alexandria).

DOS at the Fermi energy: 11.74 states/eV/cell
Symmetry: Ima2 (46)
Volume: 294 Å³/cell
Spin magnetization: 0.00 Bohr magnetons per cell
Electronic total energy: -106.9 eV/cell
E_form: -9.12 kJ per mole of atoms

Cell lengths 8.9336, 8.9336, 8.9336 Å; angles 59.68, 133.11, 145.23 degrees
Closest atoms and distances in Å follow each position.
Atoms (fractional coordinates):
Ti (0.0000, 0.0000, 0.0000)  6 Ga 2.68-2.78, 4 Mo 2.68-2.90
Ti (0.0000, 0.5000, 0.5000)  6 Ga 2.68-2.78, 4 Mo 2.68-2.90
Ti (0.5688, 0.3968, 0.6720)  6 Ga 2.64-2.88
Ti (0.7248, 0.8968, 0.3280)  6 Ga 2.64-2.88
Ga (0.0552, 0.7999, 0.5919)  1 Ga 2.53, 2 Mo 2.61-2.77, 2 Ti 2.76
Ga (0.0552, 0.9633, 0.7553)  1 Ga 2.53, 2 Mo 2.61-2.77, 2 Ti 2.76
Ga (0.1553, 0.6485, 0.0068)  2 Ti 2.64-2.73, 6 Ga 2.66-2.83
Ga (0.2080, 0.2999, 0.2447)  1 Ga 2.53, 2 Mo 2.61-2.77, 2 Ti 2.76
Ga (0.2080, 0.4633, 0.4081)  1 Ga 2.53, 2 Mo 2.61-2.77, 2 Ti 2.76
Ga (0.4826, 0.0859, 0.2025)  2 Mo 2.62-2.75, 5 Ga 2.66-2.91, 2 Ti 2.68-2.78
Ga (0.4826, 0.7801, 0.8967)  2 Mo 2.62-2.75, 5 Ga 2.66-2.91, 2 Ti 2.68-2.78
Ga (0.6416, 0.1485, 0.9932)  2 Ti 2.64-2.73, 6 Ga 2.66-2.83
Ga (0.8834, 0.2801, 0.7975)  2 Mo 2.62-2.75, 5 Ga 2.66-2.91, 2 Ti 2.68-2.78
Ga (0.8834, 0.5859, 0.1033)  2 Mo 2.62-2.75, 5 Ga 2.66-2.91, 2 Ti 2.68-2.78
Mo (0.3397, 0.0385, 0.4116)  4 Ga 2.61-2.77, 1 Mo 2.66, 2 Ti 2.68-2.90
Mo (0.3397, 0.4281, 0.8012)  4 Ga 2.61-2.77, 1 Mo 2.66, 2 Ti 2.68-2.90
Mo (0.6268, 0.5385, 0.1988)  4 Ga 2.61-2.77, 1 Mo 2.66, 2 Ti 2.68-2.90
Mo (0.6268, 0.9281, 0.5884)  4 Ga 2.61-2.77, 1 Mo 2.66, 2 Ti 2.68-2.90


Record 3
# Pm2SnB

A relaxed structure of Pm2SnB (PBE, Alexandria).

DOS at the Fermi energy: 12.76 states/eV/cell
Symmetry: Cmcm (63)
Volume: 422 Å³/cell
Spin magnetization: 0.78 Bohr magnetons per cell
Electronic total energy: -77.7 eV/cell
E_form: 18.53 kJ per mole of atoms

Cell lengths 3.4504, 20.1600, 6.0626 Å; angles 90.00, 90.00, 90.00 degrees
Closest atoms and distances in Å follow each position.
Atoms (fractional coordinates):
Pm (0.0000, 0.0505, 0.2500)  2 B 2.61
Pm (0.0000, 0.3265, 0.2500)  1 B 2.56
Pm (0.0000, 0.6735, 0.7500)  1 B 2.56
Pm (0.0000, 0.9495, 0.7500)  2 B 2.61
Pm (0.5000, 0.1735, 0.7500)  1 B 2.56
Pm (0.5000, 0.4495, 0.7500)  2 B 2.61
Pm (0.5000, 0.5505, 0.2500)  2 B 2.61
Pm (0.5000, 0.8265, 0.2500)  1 B 2.56
Sn (0.0000, 0.3087, 0.7500)  6 Pm 3.05-3.32
Sn (0.0000, 0.6913, 0.2500)  6 Pm 3.05-3.32
Sn (0.5000, 0.1913, 0.2500)  6 Pm 3.05-3.32
Sn (0.5000, 0.8087, 0.7500)  6 Pm 3.05-3.32
B (0.0000, 0.4533, 0.2500)  3 Pm 2.56-2.61
B (0.0000, 0.5467, 0.7500)  3 Pm 2.56-2.61
B (0.5000, 0.0467, 0.7500)  3 Pm 2.56-2.61
B (0.5000, 0.9533, 0.2500)  3 Pm 2.56-2.61


Record 4
# Mg2Sc

A relaxed structure of Mg2Sc (PBE, Alexandria).

DOS at the Fermi energy: 18.73 states/eV/cell
Symmetry: Fm-3m (225)
Volume: 352 Å³/cell
Spin magnetization: 1.78 Bohr magnetons per cell
Electronic total energy: -31.3 eV/cell
E_form: 54.68 kJ per mole of atoms

Cell lengths 7.0578, 7.0578, 7.0578 Å; angles 90.00, 90.00, 90.00 degrees
Closest atoms and distances in Å follow each position.
Atoms (fractional coordinates):
Mg (0.2500, 0.2500, 0.2500)  4 Sc 3.06
Mg (0.2500, 0.2500, 0.7500)  4 Sc 3.06
Mg (0.2500, 0.7500, 0.2500)  4 Sc 3.06
Mg (0.2500, 0.7500, 0.7500)  4 Sc 3.06
Mg (0.7500, 0.2500, 0.2500)  4 Sc 3.06
Mg (0.7500, 0.2500, 0.7500)  4 Sc 3.06
Mg (0.7500, 0.7500, 0.2500)  4 Sc 3.06
Mg (0.7500, 0.7500, 0.7500)  4 Sc 3.06
Sc (0.0000, 0.0000, 0.0000)  8 Mg 3.06
Sc (0.0000, 0.5000, 0.5000)  8 Mg 3.06
Sc (0.5000, 0.0000, 0.5000)  8 Mg 3.06
Sc (0.5000, 0.5000, 0.0000)  8 Mg 3.06


Record 5
# CePrSi2

A relaxed structure of CePrSi2 (PBE, Alexandria).

ΔE to the lowest computed polymorph: 0.000 eV per atom
DOS at the Fermi energy: 14.36 states/eV/cell
Symmetry: Amm2 (38)
Volume: 193 Å³/cell
Spin magnetization: 2.17 Bohr magnetons per cell
Electronic total energy: -48.6 eV/cell
E_form (uncorrected): -0.68 eV/atom

Cell lengths 3.9282, 4.4580, 10.9946 Å; angles 90.00, 90.00, 90.00 degrees
Closest atoms and distances in Å follow each position.
Atoms (fractional coordinates):
Ce (0.0000, 0.0000, 0.0000)  7 Si 3.06-3.21
Ce (0.0000, 0.5000, 0.5000)  7 Si 3.06-3.21
Pr (0.5000, 0.0000, 0.7181)  7 Si 3.08-3.24
Pr (0.5000, 0.5000, 0.2181)  7 Si 3.08-3.24
Si (0.0000, 0.0000, 0.2919)  2 Si 2.50
Si (0.0000, 0.5000, 0.7919)  2 Si 2.50
Si (0.5000, 0.0000, 0.4320)  2 Si 2.50
Si (0.5000, 0.5000, 0.9320)  2 Si 2.50


Record 6
# TbSmPu2As4

A relaxed structure of TbSmPu2As4 (PBE, Alexandria).

DOS at the Fermi energy: 21.76 states/eV/cell
Symmetry: P2/m (10)
Volume: 203 Å³/cell
Spin magnetization: 9.90 Bohr magnetons per cell
Electronic total energy: -66.8 eV/cell
E_form: -123.05 kJ per mole of atoms

Cell lengths 7.1709, 4.1618, 7.2053 Å; angles 90.00, 109.57, 90.00 degrees
Closest atoms and distances in Å follow each position.
Atoms (fractional coordinates):
Tb (0.0000, 0.0000, 0.0000)  6 As 2.95
Sm (0.0000, 0.5000, 0.5000)  6 As 2.97
Pu (0.5000, 0.0000, 0.5000)  6 As 2.92
Pu (0.5000, 0.5000, 0.0000)  6 As 2.90
As (0.2554, 0.5000, 0.2495)  3 Pu 2.90-2.92, 2 Tb 2.95, 1 Sm 2.97
As (0.2572, 0.0000, 0.7548)  3 Pu 2.90-2.92, 1 Tb 2.95, 2 Sm 2.97
As (0.7428, 0.0000, 0.2452)  3 Pu 2.90-2.92, 1 Tb 2.95, 2 Sm 2.97
As (0.7446, 0.5000, 0.7505)  3 Pu 2.90-2.92, 2 Tb 2.95, 1 Sm 2.97


Record 7
# SrGa2PS6

A relaxed structure of SrGa2PS6 (PBE, Alexandria).

DOS at the Fermi energy: 1.50 states/eV/cell
Symmetry: C2/c (15)
Volume: 495 Å³/cell
Spin magnetization: 2.03 Bohr magnetons per cell
Electronic total energy: -90.4 eV/cell
E_form (uncorrected): -0.73 eV/atom

Cell lengths 9.0721, 9.0721, 6.7674 Å; angles 109.32, 109.32, 87.26 degrees
Closest atoms and distances in Å follow each position.
Atoms (fractional coordinates):
Sr (0.1465, 0.8535, 0.7500)  6 S 3.00-3.14
Sr (0.8535, 0.1465, 0.2500)  6 S 3.00-3.14
Ga (0.1412, 0.3280, 0.8606)  4 S 2.28-2.36
Ga (0.3280, 0.1412, 0.3606)  4 S 2.28-2.36
Ga (0.6720, 0.8588, 0.6394)  4 S 2.28-2.36
Ga (0.8588, 0.6720, 0.1394)  4 S 2.28-2.36
P (0.2857, 0.7143, 0.2500)  4 S 2.12-2.29
P (0.7143, 0.2857, 0.7500)  4 S 2.12-2.29
S (0.0987, 0.5958, 0.3161)  1 P 2.29, 1 Ga 2.31
S (0.1189, 0.1861, 0.0732)  2 Ga 2.28-2.36
S (0.1861, 0.1189, 0.5732)  2 Ga 2.28-2.36
S (0.3046, 0.5471, 0.9567)  1 P 2.12, 1 Ga 2.32
S (0.4042, 0.9013, 0.1839)  1 P 2.29, 1 Ga 2.31
S (0.4529, 0.6954, 0.5433)  1 P 2.12, 1 Ga 2.32
S (0.5471, 0.3046, 0.4567)  1 P 2.12, 1 Ga 2.32
S (0.5958, 0.0987, 0.8161)  1 P 2.29, 1 Ga 2.31
S (0.6954, 0.4529, 0.0433)  1 P 2.12, 1 Ga 2.32
S (0.8139, 0.8811, 0.4268)  2 Ga 2.28-2.36
S (0.8811, 0.8139, 0.9268)  2 Ga 2.28-2.36
S (0.9013, 0.4042, 0.6839)  1 P 2.29, 1 Ga 2.31


Record 8
# Gd2HoGe

A relaxed structure of Gd2HoGe (PBE, Alexandria).

ΔE to the lowest computed polymorph: 0.507 eV per atom
DOS at the Fermi energy: 15.10 states/eV/cell
Symmetry: R-3m (166)
Volume: 366 Å³/cell
Spin magnetization: 43.27 Bohr magnetons per cell
Electronic total energy: -110.1 eV/cell
E_form: 15.51 kJ per mole of atoms

Cell lengths 3.4917, 3.4917, 34.6990 Å; angles 90.00, 90.00, 120.00 degrees
Closest atoms and distances in Å follow each position.
Atoms (fractional coordinates):
Gd (0.0000, 0.0000, 0.0840)  1 Ge 2.92
Gd (0.0000, 0.0000, 0.9160)  1 Ge 2.92
Gd (0.3333, 0.6667, 0.5827)  1 Ge 2.92
Gd (0.3333, 0.6667, 0.7507)  1 Ge 2.92
Gd (0.6667, 0.3333, 0.2493)  1 Ge 2.92
Gd (0.6667, 0.3333, 0.4173)  1 Ge 2.92
Ho (0.0000, 0.0000, 0.5000)  6 Ho 3.49, 6 Gd 3.51
Ho (0.3333, 0.6667, 0.1667)  6 Ho 3.49, 6 Gd 3.51
Ho (0.6667, 0.3333, 0.8333)  6 Ho 3.49, 6 Gd 3.51
Ge (0.0000, 0.0000, 0.0000)  2 Gd 2.92
Ge (0.3333, 0.6667, 0.6667)  2 Gd 2.92
Ge (0.6667, 0.3333, 0.3333)  2 Gd 2.92


Record 9
# La3CrP

A relaxed structure of La3CrP (PBE, Alexandria).

ΔE to the lowest computed polymorph: 0.074 eV per atom
DOS at the Fermi energy: 2.56 states/eV/cell
Symmetry: Pm-3m (221)
Volume: 135 Å³/cell
Spin magnetization: 0.00 Bohr magnetons per cell
Electronic total energy: -30.1 eV/cell
E_form: -4.70 kJ per mole of atoms

Cell lengths 5.1289, 5.1289, 5.1289 Å; angles 90.00, 90.00, 90.00 degrees
Closest atoms and distances in Å follow each position.
Atoms (fractional coordinates):
La (0.0000, 0.0000, 0.5000)  2 Cr 2.56
La (0.0000, 0.5000, 0.0000)  2 Cr 2.56
La (0.5000, 0.0000, 0.0000)  2 Cr 2.56
Cr (0.0000, 0.0000, 0.0000)  6 La 2.56
P (0.5000, 0.5000, 0.5000)  12 La 3.63


Record 10
# Sb2AsPt

A relaxed structure of Sb2AsPt (PBE, Alexandria).

DOS at the Fermi energy: 4.73 states/eV/cell
Symmetry: Imm2 (44)
Volume: 188 Å³/cell
Spin magnetization: 0.00 Bohr magnetons per cell
Electronic total energy: -37.8 eV/cell
E_form (uncorrected): 0.00 eV/atom

Cell lengths 3.6624, 4.5501, 11.2744 Å; angles 90.00, 90.00, 90.00 degrees
Closest atoms and distances in Å follow each position.
Atoms (fractional coordinates):
Sb (0.0000, 0.0000, 0.0000)  4 Pt 2.92, 2 As 2.94, 2 Sb 3.14
Sb (0.0000, 0.5000, 0.1924)  2 Pt 2.81
Sb (0.5000, 0.0000, 0.6924)  2 Pt 2.81
Sb (0.5000, 0.5000, 0.5000)  4 Pt 2.92, 2 As 2.94, 2 Sb 3.14
As (0.0000, 0.5000, 0.8353)  2 Pt 2.64, 2 Sb 2.94
As (0.5000, 0.0000, 0.3353)  2 Pt 2.64, 2 Sb 2.94
Pt (0.0000, 0.0000, 0.5039)  2 As 2.64, 6 Sb 2.81-2.92
Pt (0.5000, 0.5000, 0.0039)  2 As 2.64, 6 Sb 2.81-2.92